1) A plane-wave DFT calculation with PBE was carried out for a relaxed structure of CaEr2Tm.

size of the total moment = 0.0 μB/cell
space-group type = R-3m

a b c (Å): 3.5086 3.5086 12.5605
angles (deg): 81.97 81.97 60.00
Last column: nearest neighbours and their distance in Å.
Sites, in units of the cell vectors:
Ca: 0.0000 0.0000 0.0000  2 Er 3.41, 6 Ca 3.51
Er: 0.0917 0.0917 0.7248  1 Ca 3.41, 3 Tm 3.44, 6 Er 3.51
Er: 0.9083 0.9083 0.2752  1 Ca 3.41, 3 Tm 3.44, 6 Er 3.51
Tm: 0.5000 0.5000 0.5000  6 Er 3.44, 6 Tm 3.51

***

2) A plane-wave DFT calculation with PBE was carried out for a relaxed structure of CaEr2Tm.

size of the total moment = 0.0 μB/cell
space-group type = Fm-3m

a b c (Å): 5.6863 5.6863 5.6863
angles (deg): 60.00 60.00 60.00
Last column: nearest neighbours and their distance in Å.
Sites, in units of the cell vectors:
Er: 0.2500 0.2500 0.2500  4 Ca 3.48, 4 Tm 3.48
Er: 0.7500 0.7500 0.7500  4 Tm 3.48, 4 Ca 3.48
Tm: 0.0000 0.0000 0.0000  8 Er 3.48
Ca: 0.5000 0.5000 0.5000  8 Er 3.48

***

3) A plane-wave DFT calculation with PBE was carried out for a relaxed structure of CaEr2Tm.

size of the total moment = 0.0 μB/cell
space-group type = P4/mmm

a b c (Å): 5.0423 5.0582 5.0582
angles (deg): 90.00 90.00 90.00
Last column: nearest neighbours and their distance in Å.
Sites, in units of the cell vectors:
Ca: 0.5000 0.0000 0.0000  8 Er 3.57, 4 Tm 3.58
Tm: 0.5000 0.5000 0.5000  8 Er 3.57, 4 Ca 3.58
Er: 0.0000 0.0000 0.5000  4 Tm 3.57, 4 Ca 3.57, 4 Er 3.58
Er: 0.0000 0.5000 0.0000  4 Tm 3.57, 4 Ca 3.57, 4 Er 3.58

***

Order from most stable to least stable according to the calculation: 3), 1), 2)

***

1) A plane-wave DFT calculation with PBE was carried out for a relaxed structure of CaEr2Tm.

size of the total moment = 0.0 μB/cell
space-group type = R3m

a b c (Å): 3.5515 3.5515 12.0990
angles (deg): 81.56 81.56 60.00
Last column: nearest neighbours and their distance in Å.
Sites, in units of the cell vectors:
Ca: 0.5005 0.5005 0.4985  6 Ca 3.55, 6 Er 3.77-3.80
Er: 0.0777 0.0777 0.7669  3 Tm 3.46, 6 Er 3.55, 3 Ca 3.80
Er: 0.2555 0.2555 0.2336  3 Tm 3.45, 6 Er 3.55, 3 Ca 3.77
Tm: 0.6663 0.6663 0.0010  6 Er 3.45-3.46, 6 Tm 3.55

***

2) A plane-wave DFT calculation with PBE was carried out for a relaxed structure of CaEr2Tm.

size of the total moment = 0.0 μB/cell
space-group type = P4/mmm

a b c (Å): 3.5719 3.5719 10.2909
angles (deg): 90.00 90.00 90.00
Last column: nearest neighbours and their distance in Å.
Sites, in units of the cell vectors:
Tm: 0.5000 0.5000 0.0000  8 Er 3.45, 4 Tm 3.57
Er: 0.0000 0.0000 0.2280  4 Tm 3.45, 4 Er 3.57, 4 Ca 3.77
Er: 0.0000 0.0000 0.7720  4 Tm 3.45, 4 Er 3.57, 4 Ca 3.77
Ca: 0.5000 0.5000 0.5000  4 Ca 3.57, 8 Er 3.77

***

Order from most stable to least stable according to the calculation: 1), 2)

***

1) A plane-wave DFT calculation with PBE was carried out for a relaxed structure of CaYEr2.

size of the total moment = 0.0 μB/cell
space-group type = P4/mmm

a b c (Å): 3.5970 3.5970 10.3592
angles (deg): 90.00 90.00 90.00
Last column: nearest neighbours and their distance in Å.
Sites, in units of the cell vectors:
Y: 0.5000 0.5000 0.0000  8 Er 3.49, 4 Y 3.60
Er: 0.0000 0.0000 0.7688  4 Y 3.49, 4 Er 3.60, 4 Ca 3.77
Er: 0.0000 0.0000 0.2312  4 Y 3.49, 4 Er 3.60, 4 Ca 3.77
Ca: 0.5000 0.5000 0.5000  4 Ca 3.60, 8 Er 3.77

***

2) A plane-wave DFT calculation with PBE was carried out for a relaxed structure of CaYEr2.

size of the total moment = 0.0 μB/cell
space-group type = R-3m

a b c (Å): 3.5797 3.5797 12.1967
angles (deg): 81.56 81.56 60.00
Last column: nearest neighbours and their distance in Å.
Sites, in units of the cell vectors:
Er: 0.2548 0.2548 0.2356  3 Y 3.51, 6 Er 3.58, 3 Ca 3.79
Er: 0.7452 0.7452 0.7644  3 Y 3.51, 6 Er 3.58, 3 Ca 3.79
Ca: 0.5000 0.5000 0.5000  6 Ca 3.58, 6 Er 3.79
Y: 0.0000 0.0000 0.0000  6 Er 3.51, 6 Y 3.58

***

3) A plane-wave DFT calculation with PBE was carried out for a relaxed structure of CaYEr2.

size of the total moment = 0.0 μB/cell
space-group type = R3m

a b c (Å): 3.5784 3.5784 12.1555
angles (deg): 81.54 81.54 60.00
Last column: nearest neighbours and their distance in Å.
Sites, in units of the cell vectors:
Er: 0.2546 0.2546 0.2362  3 Y 3.49, 6 Er 3.58, 3 Ca 3.76
Er: 0.0786 0.0786 0.7643  3 Y 3.51, 6 Er 3.58, 3 Ca 3.80
Y: 0.6662 0.6662 0.0013  6 Er 3.49-3.51, 6 Y 3.58
Ca: 0.5006 0.5006 0.4983  6 Ca 3.58, 6 Er 3.76-3.80

***

Order from most stable to least stable according to the calculation: 3), 2), 1)

***

1) A plane-wave DFT calculation with PBE was carried out for a relaxed structure of CaYEr2.

size of the total moment = 0.2 μB/cell
space-group type = Fm-3m

a b c (Å): 5.7246 5.7246 5.7246
angles (deg): 60.00 60.00 60.00
Last column: nearest neighbours and their distance in Å.
Sites, in units of the cell vectors:
Y: 0.0000 0.0000 0.0000  8 Er 3.51
Er: 0.2500 0.2500 0.2500  4 Ca 3.51, 4 Y 3.51
Er: 0.7500 0.7500 0.7500  4 Ca 3.51, 4 Y 3.51
Ca: 0.5000 0.5000 0.5000  8 Er 3.51

***

2) A plane-wave DFT calculation with PBE was carried out for a relaxed structure of CaYEr2.

size of the total moment = 0.0 μB/cell
space-group type = P4/mmm

a b c (Å): 5.1030 5.0751 5.0751
angles (deg): 90.00 90.00 90.00
Last column: nearest neighbours and their distance in Å.
Sites, in units of the cell vectors:
Ca: 0.5000 0.5000 0.5000  4 Y 3.59, 8 Er 3.60
Er: 0.0000 0.0000 0.5000  4 Er 3.59, 4 Ca 3.60, 4 Y 3.60
Er: 0.0000 0.5000 0.0000  4 Er 3.59, 4 Ca 3.60, 4 Y 3.60
Y: 0.5000 0.0000 0.0000  4 Ca 3.59, 8 Er 3.60

***

Order from most stable to least stable according to the calculation: 2), 1)